Entry 1:
A relaxed structure of AcCeHgBi. Source: Alexandria via LeMat-Bulk, functional PBE.

abc: 5.6740 5.6740 5.6740
angles: 60.00 60.00 60.00
Last column: nearest neighbours and their distance in Å.
Fractional coordinates of all 4 atoms:
Ac1 0.0000 0.0000 0.0000  4 Hg 3.47, 4 Bi 3.47
Ce1 0.5000 0.5000 0.5000  4 Bi 3.47, 4 Hg 3.47
Hg1 0.2500 0.2500 0.2500  4 Ce 3.47, 4 Ac 3.47
Bi1 0.7500 0.7500 0.7500  4 Ac 3.47, 4 Ce 3.47

Computed properties:
Space group ... F-43m
Total DFT energy (no corrections) ... -16.15 eV for the cell shown
Energy of formation ... -480.0 meV per atom
Calculated volume ... 32.29 A^3/atom
Magnetic moment ... 1.760 μB/f.u.

---

Entry 2:
A relaxed structure of CrGa2Ge4. Source: Alexandria via LeMat-Bulk, functional PBE.

abc: 8.6700 8.6700 8.6700
angles: 149.99 149.99 42.96
Last column: nearest neighbours and their distance in Å.
Fractional coordinates of all 7 atoms:
Cr1 0.0000 0.0000 0.0000  6 Ge 2.24-2.33
Ga1 0.3069 0.3069 0.0000  1 Ge 2.62
Ga2 0.6931 0.6931 0.0000  1 Ge 2.62
Ge1 0.0000 0.5000 0.5000  2 Cr 2.24
Ge2 0.1446 0.1446 0.0000  1 Cr 2.33
Ge3 0.5000 0.0000 0.5000  2 Cr 2.24
Ge4 0.8554 0.8554 0.0000  1 Cr 2.33

Computed properties:
Space group ... I4/mmm
Total DFT energy (no corrections) ... -31.84 eV for the cell shown
Energy of formation ... 329.7 meV per atom
Calculated volume ... 23.23 A^3/atom
Magnetic moment ... 0.000 μB/f.u.

---

Entry 3:
A relaxed structure of CeNdTeO6. Source: Alexandria via LeMat-Bulk, functional PBE.

abc: 5.7578 5.7578 9.5753
angles: 90.00 90.00 120.00
Last column: nearest neighbours and their distance in Å.
Fractional coordinates of all 18 atoms:
Ce1 0.0000 0.0000 0.0000  6 O 2.38
Ce2 0.0000 0.0000 0.5000  6 O 2.38
Nd1 0.3333 0.6667 0.2500  6 O 2.39
Nd2 0.6667 0.3333 0.7500  6 O 2.39
Te1 0.3333 0.6667 0.7500  6 O 2.01
Te2 0.6667 0.3333 0.2500  6 O 2.01
O1 0.0502 0.3707 0.6334  1 Te 2.01
O2 0.0502 0.6796 0.8666  1 Te 2.01
O3 0.3204 0.3707 0.8666  1 Te 2.01
O4 0.3204 0.9498 0.6334  1 Te 2.01
O5 0.3707 0.0502 0.1334  1 Te 2.01
O6 0.3707 0.3204 0.3666  1 Te 2.01
O7 0.6293 0.6796 0.6334  1 Te 2.01
O8 0.6293 0.9498 0.8666  1 Te 2.01
O9 0.6796 0.0502 0.3666  1 Te 2.01
O10 0.6796 0.6293 0.1334  1 Te 2.01
O11 0.9498 0.3204 0.1334  1 Te 2.01
O12 0.9498 0.6293 0.3666  1 Te 2.01

Computed properties:
Formation energy without anion corrections ... -2338 meV per atom
Space group ... P-31c
Total DFT energy (no corrections) ... -129.27 eV for the cell shown
Calculated volume ... 15.27 A^3/atom
Magnetic moment ... 0.997 μB/f.u.

---

Entry 4:
A relaxed structure of GaCo2Pb2. Source: Alexandria via LeMat-Bulk, functional PBE.

abc: 6.6521 6.6521 4.1581
angles: 90.00 90.00 90.00
Last column: nearest neighbours and their distance in Å.
Fractional coordinates of all 10 atoms:
Ga1 0.0000 0.0000 0.0000  4 Co 2.58
Ga2 0.5000 0.5000 0.0000  4 Co 2.58
Co1 0.1372 0.3628 0.0000  2 Ga 2.58, 1 Co 2.58, 2 Pb 2.76
Co2 0.3628 0.8628 0.0000  2 Ga 2.58, 1 Co 2.58, 2 Pb 2.76
Co3 0.6372 0.1372 0.0000  2 Ga 2.58, 1 Co 2.58, 2 Pb 2.76
Co4 0.8628 0.6372 0.0000  2 Ga 2.58, 1 Co 2.58, 2 Pb 2.76
Pb1 0.1694 0.6694 0.5000  6 Co 2.76-2.92
Pb2 0.3306 0.1694 0.5000  6 Co 2.76-2.92
Pb3 0.6694 0.8306 0.5000  6 Co 2.76-2.92
Pb4 0.8306 0.3306 0.5000  6 Co 2.76-2.92

Computed properties:
Space group ... P4/mbm
Total DFT energy (no corrections) ... -46.12 eV for the cell shown
Energy of formation ... 319.5 meV per atom
Calculated volume ... 18.40 A^3/atom
Magnetic moment ... 2.107 μB/f.u.

---

Entry 5:
A relaxed structure of AsPb2Br. Source: Alexandria via LeMat-Bulk, functional PBE.

abc: 8.2322 8.2322 8.2322
angles: 152.05 150.77 40.88
Last column: nearest neighbours and their distance in Å.
Fractional coordinates of all 4 atoms:
As1 0.0000 0.0000 0.0000  6 Pb 2.94-3.09
Pb1 0.5737 0.5737 0.0000  4 As 3.09
Pb2 0.8594 0.3594 0.5000  2 As 2.94
Br1 0.2544 0.7544 0.5000  6 Pb 3.30-3.48

Computed properties:
Formation energy without anion corrections ... -261 meV per atom
Space group ... Imm2
Total DFT energy (no corrections) ... -14.78 eV for the cell shown
Polymorph energy (0 for the lowest one) ... 0.136 eV/atom
Calculated volume ... 31.85 A^3/atom
Magnetic moment ... 0.000 μB/f.u.

---

Entry 6:
A relaxed structure of Ti2VGa. Source: Alexandria via LeMat-Bulk, functional PBE.

abc: 3.2032 3.2032 6.0605
angles: 90.00 90.00 90.00
Last column: nearest neighbours and their distance in Å.
Fractional coordinates of all 4 atoms:
Ti1 0.0000 0.0000 0.2366  4 V 2.68, 4 Ga 2.77, 1 Ti 2.87
Ti2 0.0000 0.0000 0.7634  4 V 2.68, 4 Ga 2.77, 1 Ti 2.87
V1 0.5000 0.5000 0.0000  8 Ti 2.68
Ga1 0.5000 0.5000 0.5000  8 Ti 2.77, 2 V 3.03

Computed properties:
Space group ... P4/mmm
Total DFT energy (no corrections) ... -28.99 eV for the cell shown
Energy of formation ... -264.1 meV per atom
Calculated volume ... 15.55 A^3/atom
Magnetic moment ... 0.002 μB/f.u.

---

Entry 7:
A relaxed structure of Nd12Tm6Th. Source: Alexandria via LeMat-Bulk, functional PBE.

abc: 8.6616 8.6616 8.6616
angles: 88.95 88.95 88.95
Last column: nearest neighbours and their distance in Å.
Fractional coordinates of all 19 atoms:
Nd1 0.0166 0.3594 0.1940  4 Nd 3.47-3.61, 4 Tm 3.56-3.73, 1 Th 3.57
Nd2 0.1940 0.0166 0.3594  4 Nd 3.47-3.61, 4 Tm 3.56-3.73, 1 Th 3.57
Nd3 0.2166 0.5626 0.4656  6 Nd 3.38-3.75, 3 Tm 3.39-3.50
Nd4 0.3594 0.1940 0.0166  4 Nd 3.47-3.61, 4 Tm 3.56-3.73, 1 Th 3.57
Nd5 0.4374 0.5344 0.7834  6 Nd 3.38-3.75, 3 Tm 3.39-3.50
Nd6 0.4656 0.2166 0.5626  6 Nd 3.38-3.75, 3 Tm 3.39-3.50
Nd7 0.5344 0.7834 0.4374  6 Nd 3.38-3.75, 3 Tm 3.39-3.50
Nd8 0.5626 0.4656 0.2166  6 Nd 3.38-3.75, 3 Tm 3.39-3.50
Nd9 0.6406 0.8060 0.9834  4 Nd 3.47-3.61, 4 Tm 3.56-3.73, 1 Th 3.57
Nd10 0.7834 0.4374 0.5344  6 Nd 3.38-3.75, 3 Tm 3.39-3.50
Nd11 0.8060 0.9834 0.6406  4 Nd 3.47-3.61, 4 Tm 3.56-3.73, 1 Th 3.57
Nd12 0.9834 0.6406 0.8060  4 Nd 3.47-3.61, 4 Tm 3.56-3.73, 1 Th 3.57
Tm1 0.1001 0.2549 0.7045  7 Nd 3.39-3.73, 1 Th 3.46, 2 Tm 3.50
Tm2 0.2549 0.7045 0.1001  7 Nd 3.39-3.73, 1 Th 3.46, 2 Tm 3.50
Tm3 0.2955 0.8999 0.7451  7 Nd 3.39-3.73, 1 Th 3.46, 2 Tm 3.50
Tm4 0.7045 0.1001 0.2549  7 Nd 3.39-3.73, 1 Th 3.46, 2 Tm 3.50
Tm5 0.7451 0.2955 0.8999  7 Nd 3.39-3.73, 1 Th 3.46, 2 Tm 3.50
Tm6 0.8999 0.7451 0.2955  7 Nd 3.39-3.73, 1 Th 3.46, 2 Tm 3.50
Th1 0.0000 0.0000 0.0000  6 Tm 3.46, 6 Nd 3.57

Computed properties:
Space group ... R-3
Total DFT energy (no corrections) ... -89.11 eV for the cell shown
Polymorph energy (0 for the lowest one) ... 0.099 eV/atom
Energy of formation ... 123.9 meV per atom
Calculated volume ... 34.18 A^3/atom
Magnetic moment ... 0.000 μB/f.u.

---

Entry 8:
A relaxed structure of Pr2Nd5SmTh. Source: Alexandria via LeMat-Bulk, functional PBE.

abc: 10.7550 10.7550 10.6798
angles: 90.00 90.00 148.77
Last column: nearest neighbours and their distance in Å.
Fractional coordinates of all 18 atoms:
Pr1 0.1161 0.8839 0.5000  1 Th 3.47, 7 Nd 3.54-3.77, 2 Sm 3.78
Pr2 0.1161 0.8839 0.9129  8 Nd 3.31-3.64, 1 Th 3.69
Pr3 0.8839 0.1161 0.0000  1 Th 3.47, 7 Nd 3.54-3.77, 2 Sm 3.78
Pr4 0.8839 0.1161 0.4129  8 Nd 3.31-3.64, 1 Th 3.69
Nd1 0.0159 0.9841 0.2105  2 Sm 3.38, 3 Pr 3.49-3.72, 2 Nd 3.74
Nd2 0.2758 0.7242 0.9149  1 Sm 3.10, 1 Pr 3.31, 2 Nd 3.45
Nd3 0.2948 0.7052 0.5262  2 Nd 3.45, 1 Sm 3.55, 3 Th 3.55-3.83, 3 Pr 3.64-3.71
Nd4 0.3874 0.6126 0.2060  6 Nd 3.58-3.93, 4 Pr 3.64, 1 Th 3.90
Nd5 0.4807 0.5193 0.4885  2 Sm 3.24-3.43, 2 Nd 3.58-3.59, 2 Pr 3.61
Nd6 0.5193 0.4807 0.9885  2 Sm 3.24-3.43, 2 Nd 3.58-3.59, 2 Pr 3.61
Nd7 0.6126 0.3874 0.7060  6 Nd 3.58-3.93, 4 Pr 3.64, 1 Th 3.90
Nd8 0.7052 0.2948 0.0262  2 Nd 3.45, 1 Sm 3.55, 3 Th 3.55-3.83, 3 Pr 3.64-3.71
Nd9 0.7242 0.2758 0.4149  1 Sm 3.10, 1 Pr 3.31, 2 Nd 3.45
Nd10 0.9841 0.0159 0.7105  2 Sm 3.38, 3 Pr 3.49-3.72, 2 Nd 3.74
Sm1 0.4074 0.5926 0.7765  5 Nd 3.10-3.43
Sm2 0.5926 0.4074 0.2765  5 Nd 3.10-3.43
Th1 0.1994 0.8006 0.2185  2 Pr 3.47-3.69, 7 Nd 3.55-3.83, 2 Sm 3.70
Th2 0.8006 0.1994 0.7185  2 Pr 3.47-3.69, 7 Nd 3.55-3.83, 2 Sm 3.70

Computed properties:
Space group ... Cmc2_1
Total DFT energy (no corrections) ... -88.42 eV for the cell shown
Energy of formation ... 147.7 meV per atom
Calculated volume ... 35.59 A^3/atom
Magnetic moment ... 0.000 μB/f.u.

---

Entry 9:
A relaxed structure of K2NpPaSe4. Source: Alexandria via LeMat-Bulk, functional PBE.

abc: 7.2844 4.2007 8.1537
angles: 90.00 107.21 90.00
Last column: nearest neighbours and their distance in Å.
Fractional coordinates of all 8 atoms:
K1 0.0000 0.0000 0.0000  6 Se 3.32-3.34
K2 0.5000 0.5000 0.0000  6 Se 3.29-3.31
Np1 0.0000 0.5000 0.5000  6 Se 2.94-2.95
Pa1 0.5000 0.0000 0.5000  6 Se 2.89-2.92
Se1 0.2411 0.0000 0.7093  1 Pa 2.89, 2 Np 2.94
Se2 0.2668 0.5000 0.2895  2 Pa 2.92, 1 Np 2.95
Se3 0.7332 0.5000 0.7105  2 Pa 2.92, 1 Np 2.95
Se4 0.7589 0.0000 0.2907  1 Pa 2.89, 2 Np 2.94

Computed properties:
Formation energy without anion corrections ... -1302 meV per atom
Space group ... P2/m
Total DFT energy (no corrections) ... -48.98 eV for the cell shown
Calculated volume ... 29.79 A^3/atom
Magnetic moment ... 6.007 μB/f.u.

---

Entry 10:
A relaxed structure of AcScSeO6. Source: Alexandria via LeMat-Bulk, functional PBE.

abc: 5.2802 5.2802 5.2763
angles: 90.00 90.00 120.00
Last column: nearest neighbours and their distance in Å.
Fractional coordinates of all 9 atoms:
Ac1 0.0000 0.0000 0.0000  6 O 2.54
Sc1 0.3333 0.6667 0.5000  6 O 2.11
Se1 0.6667 0.3333 0.5000  6 O 1.84
O1 0.3950 0.0382 0.7012  1 Se 1.84
O2 0.3950 0.3568 0.2988  1 Se 1.84
O3 0.6432 0.0382 0.2988  1 Se 1.84
O4 0.6432 0.6050 0.7012  1 Se 1.84
O5 0.9618 0.3568 0.7012  1 Se 1.84
O6 0.9618 0.6050 0.2988  1 Se 1.84

Computed properties:
Formation energy without anion corrections ... -2257 meV per atom
Space group ... P312
Total DFT energy (no corrections) ... -63.99 eV for the cell shown
Calculated volume ... 14.16 A^3/atom
Magnetic moment ... 0.000 μB/f.u.

---

What is the calculated volume in the third record? 15.27 A^3/atom